(1)
ScOsBr2 | PBE | optimized geometry

Cell lengths 7.654, 7.654, 7.654 Å; angles 152.42, 149.23, 41.79 degrees
Each line ends with the local moment (μB).
Element x y z (fractional)
Sc 0.250 0.750 0.500  -0.03
Os 0.750 0.250 0.500  0.55
Br 0.888 0.888 0.000  0.07
Br 0.612 0.612 0.000  0.07

polymorph energy (0 for the lowest one) = 164.5 meV/atom
symmetry = Immm, No. 71
ΔE_f (raw) = -0.15 eV/atom


(2)
Sc3OsBr3 | PBE | optimized geometry

Cell lengths 3.896, 8.118, 11.410 Å; angles 92.20, 90.00, 90.00 degrees
Element x y z (fractional)
Sc 0.750 0.095 0.815
Sc 0.750 0.154 0.356
Sc 0.750 0.744 0.396
Sc 0.250 0.905 0.185
Sc 0.250 0.846 0.644
Sc 0.250 0.256 0.604
Br 0.250 0.867 0.892
Br 0.750 0.668 0.147
Br 0.250 0.332 0.853
Br 0.250 0.430 0.371
Br 0.750 0.570 0.629
Br 0.750 0.133 0.108
Os 0.250 0.957 0.410
Os 0.750 0.043 0.590

symmetry = P2_1/m, No. 11
ΔE_f (raw) = -1.15 eV/atom